(1)
DySc2Bi after structural relaxation, computed with PBE.

The structure belongs to space group P4/mmm (No. 123); the cell edges are 4.6961, 4.6961 and 4.6576 Å and the angles 90.00°, 90.00° and 90.00°. The inequivalent atoms are Dy at (0.0000, 0.0000, 0.0000), Sc at (0.0000, 0.5000, 0.5000) and Bi at (0.5000, 0.5000, 0.0000).

The magnetic moment comes out at 1.59 μB per cell. The value obtained for the distance to the lowest polymorph of the same formula is 161 meV/atom.

---

(2)
DySc3Bi3 after structural relaxation, computed with PBE.

The structure belongs to space group R-3 (No. 148, hexagonal axes); the cell edges are 8.7702, 8.7702 and 18.1958 Å and the angles 90.00°, 90.00° and 120.00°. The inequivalent atoms are Dy at (0.0000, 0.0000, 0.1651), Sc at (0.0006, 0.2596, 0.4238) and Bi at (0.0026, 0.6165, 0.4106).

The value obtained for the raw total energy is -5.5755 eV per atom. The magnetic moment comes out at 0.00 μB per cell.

---

(3)
Dy3Sc4Bi4 after structural relaxation, computed with PBE.

The structure belongs to space group Immm (No. 71); the cell edges are 4.2140, 9.1349 and 15.7910 Å and the angles 90.00°, 90.00° and 90.00°. The inequivalent atoms are Dy at (0.0000, 0.0000, 0.0000), Dy at (0.0000, 0.5000, 0.1163), Sc at (0.0000, 0.2960, 0.3230), Bi at (0.0000, 0.0000, 0.2290) and Bi at (0.0000, 0.2091, 0.5000).

The value obtained for the raw total energy is -5.5133 eV per atom. The magnetic moment comes out at 0.00 μB per cell.

---

Look up the magnetic moment of the third one. 0.00 μB per cell